Compound: Li7Mn2Co3O12
Source: Alexandria
Functional: PBE+U
Structure: relaxed

Cell lengths 5.8955, 6.5134, 6.5425 Å; angles 96.79, 115.78, 103.49 degrees
Closest atoms and distances in Å follow each position.
Element x y z (fractional)
Li  0.0000  0.0000  0.0000  6 O 2.06-2.26
Li  0.0007  0.6742  0.6627  6 O 2.06-2.21
Li  0.4906  0.9968  0.9981  6 O 2.09-2.29
Li  0.5023  0.6768  0.6689  6 O 2.07-2.22
Li  0.5132  0.3281  0.3356  5 O 2.05-2.14
Li  0.7490  0.0015  0.4955  6 O 2.05-2.14
Li  0.9926  0.3313  0.3316  6 O 2.11-2.22
Mn  0.2490  0.0003  0.4960  6 O 1.91-1.97
Mn  0.7454  0.3334  0.8277  6 O 1.91-1.99
Co  0.2313  0.3330  0.8255  6 O 1.92-2.15
Co  0.2722  0.6751  0.1783  5 O 1.88-2.10
Co  0.7489  0.6673  0.1643  6 O 1.94-2.15
O  0.0880  0.3351  0.0564  1 Mn 1.92, 2 Co 2.03-2.10, 2 Li 2.07-2.11
O  0.1390  0.0207  0.7392  1 Co 1.92, 1 Mn 1.96, 3 Li 2.09-2.13
O  0.1414  0.6884  0.4207  1 Mn 1.91, 1 Co 2.04, 2 Li 2.07-2.08
O  0.3580  0.9944  0.2560  1 Mn 1.94, 1 Co 1.97, 4 Li 2.06-2.15
O  0.3679  0.6536  0.9155  3 Co 1.97-2.10, 3 Li 2.09-2.12
O  0.3845  0.3209  0.5905  2 Mn 1.97-1.99, 1 Co 2.10, 2 Li 2.11-2.19
O  0.6050  0.0204  0.7374  2 Mn 1.92-1.96, 3 Li 2.10-2.11
O  0.6086  0.6595  0.3829  2 Co 1.88-1.94, 2 Li 2.05-2.10
O  0.6289  0.3520  0.0683  2 Co 1.94-2.15, 1 Mn 1.97, 2 Li 2.14
O  0.8715  0.3400  0.6046  1 Mn 1.91, 1 Co 2.00, 3 Li 2.05-2.08
O  0.8720  0.6514  0.9316  1 Mn 1.95, 2 Co 1.95-2.16, 2 Li 2.14-2.17
O  0.8949  0.9823  0.2631  1 Co 1.94, 1 Mn 1.94, 3 Li 2.05-2.15

Theoretical density (g/cm³): 4.11
Energy (eV per formula unit): -141.0